Density functional theory data (PBE-GGA) for a relaxed CaZn2Au6 crystal.

Summary:
VASP energy   -26.83 eV/cell
Formation energy from the elements   -0.291 eV/atom

Lattice parameters (Å, degrees): 5.591 5.591 7.280 90.00 90.00 120.00
Element x y z (fractional)
Ca (0.000, 0.000, 0.000)
Zn (0.333, 0.667, 0.500)
Zn (0.667, 0.333, 0.500)
Au (0.000, 0.500, 0.205)
Au (0.000, 0.500, 0.795)
Au (0.500, 0.000, 0.205)
Au (0.500, 0.000, 0.795)
Au (0.500, 0.500, 0.205)
Au (0.500, 0.500, 0.795)



Density functional theory data (PBE-GGA) for a relaxed CaLuPd crystal.

Summary:
VASP energy   -13.06 eV/cell
Formation energy from the elements   -0.448 eV/atom
Offset from the most stable computed form   30 kJ/mol of formula units

Lattice parameters (Å, degrees): 4.872 4.872 4.872 60.00 60.00 60.00
Element x y z (fractional)
Ca (0.000, 0.000, 0.000)
Lu (0.500, 0.500, 0.500)
Pd (0.750, 0.750, 0.750)



Number 1: M_tot 0.00 μB per atom, calculated volume 21.9 Å³/atom. Number 2: M_tot 0.00 μB per atom, calculated volume 27.3 Å³/atom.